Record 1
The following is a DFT calculation (PBE-GGA) of a relaxed Nd12Dy3Cd crystal.

For the formation energy, the calculation gives -0.01 eV/atom. The calculation puts the magnetization at 0.00 Bohr magnetons per cell. The calculation puts the total energy at -4.5075 eV/atom.

Unit cell a=5.100 b=5.100 c=20.614 alpha=90.00 beta=90.00 gamma=90.00
Positions (direct):
Nd 0.000 0.000 0.000
Nd 0.000 0.000 0.246
Nd 0.000 0.000 0.500
Nd 0.000 0.000 0.754
Nd 0.000 0.500 0.122
Nd 0.000 0.500 0.374
Nd 0.000 0.500 0.626
Nd 0.000 0.500 0.878
Nd 0.500 0.000 0.122
Nd 0.500 0.000 0.374
Nd 0.500 0.000 0.626
Nd 0.500 0.000 0.878
Dy 0.500 0.500 0.248
Dy 0.500 0.500 0.500
Dy 0.500 0.500 0.752
Cd 0.500 0.500 0.000

=====

Record 2
The following is a DFT calculation (PBE-GGA) of a relaxed Nd4Dy5Cd crystal.

For the formation energy, the calculation gives 0.10 eV/atom. The value obtained for the energy relative to the lowest polymorph listed for this composition is 0.153 eV per atom. The calculation puts the magnetization at 0.00 Bohr magnetons per cell. The calculation puts the total energy at -4.1958 eV/atom.

Unit cell a=8.136 b=8.136 c=8.136 alpha=97.26 beta=97.26 gamma=138.35
Positions (direct):
Nd 0.000 0.317 0.317
Nd 0.000 0.683 0.683
Nd 0.317 0.000 0.317
Nd 0.683 0.000 0.683
Dy 0.188 0.188 0.000
Dy 0.305 0.305 0.633
Dy 0.305 0.672 0.000
Dy 0.672 0.305 0.000
Dy 0.672 0.672 0.367
Cd 0.707 0.707 0.000

=====

Record 3
The following is a DFT calculation (PBE-GGA) of a relaxed Nd12DyCd3 crystal.

For the formation energy, the calculation gives -0.07 eV/atom. The calculation puts the magnetization at 0.00 Bohr magnetons per cell. The calculation puts the total energy at -4.1101 eV/atom.

Unit cell a=5.009 b=5.009 c=20.307 alpha=90.00 beta=90.00 gamma=90.00
Positions (direct):
Nd 0.000 0.000 0.000
Nd 0.000 0.000 0.246
Nd 0.000 0.000 0.500
Nd 0.000 0.000 0.754
Nd 0.000 0.500 0.123
Nd 0.000 0.500 0.370
Nd 0.000 0.500 0.630
Nd 0.000 0.500 0.877
Nd 0.500 0.000 0.123
Nd 0.500 0.000 0.370
Nd 0.500 0.000 0.630
Nd 0.500 0.000 0.877
Dy 0.500 0.500 0.500
Cd 0.500 0.500 0.000
Cd 0.500 0.500 0.244
Cd 0.500 0.500 0.756

=====

Record 4
The following is a DFT calculation (PBE-GGA) of a relaxed Nd3Dy5Cd2 crystal.

For the formation energy, the calculation gives 0.13 eV/atom. The calculation puts the magnetization at 0.00 Bohr magnetons per cell. The calculation puts the total energy at -3.7825 eV/atom.

Unit cell a=10.461 b=10.461 c=10.461 alpha=100.86 beta=90.83 gamma=142.85
Positions (direct):
Nd 0.227 0.140 0.367
Nd 0.250 0.250 0.000
Nd 0.273 0.640 0.913
Nd 0.727 0.360 0.087
Nd 0.750 0.750 0.000
Nd 0.773 0.860 0.633
Dy 0.171 0.401 0.572
Dy 0.250 0.510 0.260
Dy 0.250 0.750 0.500
Dy 0.250 0.990 0.740
Dy 0.329 0.901 0.230
Dy 0.671 0.099 0.770
Dy 0.750 0.010 0.260
Dy 0.750 0.250 0.500
Dy 0.750 0.490 0.740
Dy 0.829 0.599 0.428
Cd 0.137 0.863 0.001
Cd 0.363 0.363 0.726
Cd 0.637 0.637 0.274
Cd 0.863 0.137 0.999

=====

Record 5
The following is a DFT calculation (PBE-GGA) of a relaxed Nd7DyCd2 crystal.

For the formation energy, the calculation gives 0.37 eV/atom. The calculation puts the magnetization at 0.00 Bohr magnetons per cell. The calculation puts the total energy at -3.6080 eV/atom.

Unit cell a=9.328 b=9.328 c=5.352 alpha=90.00 beta=90.00 gamma=121.61
Positions (direct):
Nd 0.000 0.000 0.000
Nd 0.200 0.433 0.000
Nd 0.278 0.722 0.500
Nd 0.433 0.200 0.000
Nd 0.567 0.800 0.000
Nd 0.722 0.278 0.500
Nd 0.800 0.567 0.000
Dy 0.500 0.500 0.500
Cd 0.196 0.804 0.000
Cd 0.804 0.196 0.000

=====

Record 6
The following is a DFT calculation (PBE-GGA) of a relaxed Nd3DyCd2 crystal.

For the formation energy, the calculation gives -0.19 eV/atom. The value obtained for the energy relative to the lowest polymorph listed for this composition is 0.000 eV per atom. The calculation puts the magnetization at 0.26 Bohr magnetons per cell. The calculation puts the total energy at -3.6482 eV/atom.

Unit cell a=3.773 b=3.773 c=12.817 alpha=90.00 beta=90.00 gamma=90.00
Positions (direct):
Nd 0.000 0.000 0.000
Nd 0.000 0.000 0.310
Nd 0.000 0.000 0.690
Dy 0.500 0.500 0.500
Cd 0.500 0.500 0.156
Cd 0.500 0.500 0.844

=====

Record 7
The following is a DFT calculation (PBE-GGA) of a relaxed Nd6DyCd3 crystal.

For the formation energy, the calculation gives -0.07 eV/atom. The calculation puts the magnetization at 0.00 Bohr magnetons per cell. The calculation puts the total energy at -3.6673 eV/atom.

Unit cell a=10.525 b=10.525 c=6.886 alpha=90.00 beta=90.00 gamma=123.78
Positions (direct):
Nd 0.054 0.946 0.500
Nd 0.093 0.513 0.895
Nd 0.267 0.359 0.690
Nd 0.279 0.721 0.461
Nd 0.359 0.267 0.190
Nd 0.487 0.907 0.895
Nd 0.513 0.093 0.395
Nd 0.641 0.733 0.690
Nd 0.721 0.279 0.961
Nd 0.733 0.641 0.190
Nd 0.907 0.487 0.395
Nd 0.946 0.054 0.000
Dy 0.146 0.854 0.077
Dy 0.854 0.146 0.577
Cd 0.111 0.352 0.280
Cd 0.352 0.111 0.780
Cd 0.408 0.592 0.095
Cd 0.592 0.408 0.595
Cd 0.648 0.889 0.280
Cd 0.889 0.648 0.780

=====

Record 8
The following is a DFT calculation (PBE-GGA) of a relaxed NdDy14Cd crystal.

For the formation energy, the calculation gives -0.02 eV/atom. The calculation puts the magnetization at 0.00 Bohr magnetons per cell. The calculation puts the total energy at -4.4006 eV/atom.

Unit cell a=11.235 b=7.159 c=7.159 alpha=60.04 beta=90.00 gamma=90.00
Positions (direct):
Nd 0.000 0.000 0.000
Dy 0.000 0.000 0.519
Dy 0.000 0.519 0.000
Dy 0.243 0.343 0.343
Dy 0.245 0.343 0.841
Dy 0.245 0.841 0.343
Dy 0.255 0.842 0.842
Dy 0.500 0.011 0.011
Dy 0.500 0.011 0.506
Dy 0.500 0.506 0.011
Dy 0.500 0.509 0.509
Dy 0.745 0.842 0.842
Dy 0.755 0.343 0.841
Dy 0.755 0.841 0.343
Dy 0.757 0.343 0.343
Cd 0.000 0.509 0.509